Entry 1:
Below is a relaxed structure of TaMnAs2, with properties calculated at the PBE level.

Cell lengths 5.2423, 5.2423, 5.2423 Å; angles 143.28, 131.25, 62.56 degrees
Last column: nearest neighbours and their distance in Å.
Atoms (fractional coordinates):
Mn: 0.4775 0.4775 0.0000  6 As 2.45-2.73
As: 0.9951 0.9951 0.0000  4 Mn 2.73, 2 Ta 2.73, 4 As 2.93-3.01
As: 0.2754 0.7754 0.5000  2 Mn 2.45, 4 Ta 2.73
Ta: 0.7520 0.2520 0.5000  6 As 2.73, 4 Mn 2.96

Calculated values
- energy (eV per cell) = -30.38
- energy relative to the elements (eV/atom) = -0.014
- calculated volume (Å³ per cell) = 64.0
- E above lowest polymorph (eV per formula unit) = 0.93

Entry 2:
Below is a relaxed structure of TaMnAs2, with properties calculated at the PBE level.

Cell lengths 4.1640, 3.3890, 5.0777 Å; angles 70.41, 90.00, 90.00 degrees
Last column: nearest neighbours and their distance in Å.
Atoms (fractional coordinates):
Mn: 0.0000 0.7136 0.4468  7 As 2.60-2.76, 2 Ta 2.65
As: 0.0000 0.9863 0.9024  3 Mn 2.60-2.76, 4 Ta 2.74
Ta: 0.5000 0.5435 0.7879  2 Mn 2.65, 7 As 2.65-2.75
As: 0.5000 0.2566 0.3629  3 Ta 2.65-2.75, 4 Mn 2.71-2.72

Calculated values
- energy (eV per cell) = -31.02
- energy relative to the elements (eV/atom) = -0.174
- calculated volume (Å³ per cell) = 67.5
- E above lowest polymorph (eV per formula unit) = 0.29

Entry 3:
Below is a relaxed structure of TaMnAs2, with properties calculated at the PBE level.

Cell lengths 3.8902, 3.8902, 9.1560 Å; angles 77.73, 77.73, 90.00 degrees
Last column: nearest neighbours and their distance in Å.
Atoms (fractional coordinates):
Ta: 0.0000 0.0000 0.0000  4 As 2.62, 4 Mn 2.75
Mn: 0.5000 0.5000 0.0000  4 As 2.54, 4 Ta 2.75
As: 0.1504 0.6250 0.2500  2 Mn 2.54, 2 As 2.61, 2 Ta 2.62
As: 0.8750 0.8496 0.7500  2 Mn 2.54, 2 As 2.61, 2 Ta 2.62
As: 0.3750 0.4004 0.7500  2 Mn 2.54, 2 As 2.61, 2 Ta 2.62
Mn: 0.2500 0.7500 0.5000  4 As 2.54, 4 Ta 2.75
Ta: 0.7500 0.2500 0.5000  4 As 2.62, 4 Mn 2.75
As: 0.5996 0.1250 0.2500  2 Mn 2.54, 2 As 2.61, 2 Ta 2.62

Calculated values
- energy (eV per cell) = -58.19
- energy relative to the elements (eV/atom) = 0.306
- calculated volume (Å³ per cell) = 132.2
- E above lowest polymorph (eV per formula unit) = 2.21

Entry 4:
Below is a relaxed structure of TaMnAs2, with properties calculated at the PBE level.

Cell lengths 4.4708, 4.4708, 4.4708 Å; angles 60.00, 60.00, 60.00 degrees
Last column: nearest neighbours and their distance in Å.
Atoms (fractional coordinates):
Mn: 0.0000 0.0000 0.0000  8 As 2.74
Ta: 0.5000 0.5000 0.5000  8 As 2.74
As: 0.2500 0.2500 0.2500  4 Ta 2.74, 4 Mn 2.74
As: 0.7500 0.7500 0.7500  4 Ta 2.74, 4 Mn 2.74

Calculated values
- energy (eV per cell) = -30.54
- energy relative to the elements (eV/atom) = -0.056
- calculated volume (Å³ per cell) = 63.2
- E above lowest polymorph (eV per formula unit) = 0.76

Entry 5:
Below is a relaxed structure of Ta3MnAs, with properties calculated at the PBE level.

Cell lengths 4.6020, 4.6020, 4.6020 Å; angles 90.00, 90.00, 90.00 degrees
Last column: nearest neighbours and their distance in Å.
Atoms (fractional coordinates):
Ta: 0.0000 0.5000 0.0000  2 Mn 2.30
Ta: 0.0000 0.0000 0.5000  2 Mn 2.30
Mn: 0.0000 0.0000 0.0000  6 Ta 2.30
As: 0.5000 0.5000 0.5000  12 Ta 3.25
Ta: 0.5000 0.0000 0.0000  2 Mn 2.30

Calculated values
- energy (eV per cell) = -45.55
- energy relative to the elements (eV/atom) = 0.765
- calculated volume (Å³ per cell) = 97.5
- E above lowest polymorph (eV per formula unit) = 0.00

Entry 6:
Below is a relaxed structure of Ta2MnAs, with properties calculated at the PBE level.

Cell lengths 3.8720, 3.8720, 9.5767 Å; angles 78.34, 78.34, 90.00 degrees
Last column: nearest neighbours and their distance in Å.
Atoms (fractional coordinates):
As: 0.0000 0.0000 0.0000  4 Ta 2.67, 4 Mn 2.74
Ta: 0.3750 0.3714 0.7500  2 As 2.67, 2 Mn 2.68, 4 Ta 2.72-2.76
Ta: 0.8750 0.8786 0.7500  2 As 2.67, 2 Mn 2.68, 4 Ta 2.72-2.76
As: 0.7500 0.2500 0.5000  4 Ta 2.67, 4 Mn 2.74
Ta: 0.6286 0.1250 0.2500  2 As 2.67, 2 Mn 2.68, 4 Ta 2.72-2.76
Ta: 0.1214 0.6250 0.2500  2 As 2.67, 2 Mn 2.68, 4 Ta 2.72-2.76
Mn: 0.5000 0.5000 0.0000  4 Ta 2.68, 4 As 2.74
Mn: 0.2500 0.7500 0.5000  4 Ta 2.68, 4 As 2.74

Calculated values
- energy (eV per cell) = -70.62
- energy relative to the elements (eV/atom) = 0.553
- calculated volume (Å³ per cell) = 137.6

Entry 7:
Below is a relaxed structure of TaMnAs2, with properties calculated at the PBE level.

Cell lengths 4.4171, 4.4171, 3.2133 Å; angles 90.00, 90.00, 90.00 degrees
Last column: nearest neighbours and their distance in Å.
Atoms (fractional coordinates):
Ta: 0.0000 0.5000 0.5000  8 As 2.73
As: 0.5000 0.5000 0.0000  4 Ta 2.73, 4 Mn 2.73
Mn: 0.5000 0.0000 0.5000  8 As 2.73
As: 0.0000 0.0000 0.0000  4 Ta 2.73, 4 Mn 2.73

Calculated values
- energy (eV per cell) = -30.75
- energy relative to the elements (eV/atom) = -0.107
- calculated volume (Å³ per cell) = 62.7
- E above lowest polymorph (eV per formula unit) = 0.55

Entry 8:
Below is a relaxed structure of TaMnAs2, with properties calculated at the PBE level.

Cell lengths 4.4988, 4.4988, 4.4988 Å; angles 60.00, 60.00, 60.00 degrees
Last column: nearest neighbours and their distance in Å.
Atoms (fractional coordinates):
Ta: 0.7500 0.7500 0.7500  4 Mn 2.75, 4 As 2.75
Mn: 0.5000 0.5000 0.5000  4 Ta 2.75, 4 As 2.75
As: 0.0000 0.0000 0.0000  4 As 2.75, 4 Ta 2.75
As: 0.2500 0.2500 0.2500  4 Mn 2.75, 4 As 2.75

Calculated values
- energy (eV per cell) = -29.29
- energy relative to the elements (eV/atom) = 0.257
- calculated volume (Å³ per cell) = 64.4
- E above lowest polymorph (eV per formula unit) = 2.01

Entry 9:
Below is a relaxed structure of TaMnAs2, with properties calculated at the PBE level.

Cell lengths 6.9549, 6.9549, 6.9549 Å; angles 29.65, 29.65, 29.65 degrees
Last column: nearest neighbours and their distance in Å.
Atoms (fractional coordinates):
Mn: 0.2500 0.2500 0.2500  6 As 2.63
Ta: 0.7500 0.7500 0.7500  6 As 2.66
As: 0.9989 0.9989 0.9989  3 Mn 2.63, 3 Ta 2.66
As: 0.5011 0.5011 0.5011  3 Mn 2.63, 3 Ta 2.66

Calculated values
- energy (eV per cell) = -30.63
- energy relative to the elements (eV/atom) = -0.078
- calculated volume (Å³ per cell) = 72.9
- E above lowest polymorph (eV per formula unit) = 0.67

Entry 10:
Below is a relaxed structure of TaMnAs2, with properties calculated at the PBE level.

Cell lengths 3.9642, 3.9642, 5.6844 Å; angles 79.08, 79.08, 45.51 degrees
Last column: nearest neighbours and their distance in Å.
Atoms (fractional coordinates):
As: 0.0069 0.0069 0.9603  3 Mn 2.42-2.46, 3 Ta 2.66-2.71
Ta: 0.2500 0.2500 0.2500  6 As 2.66-2.71
As: 0.4931 0.4931 0.5397  3 Mn 2.42-2.46, 3 Ta 2.66-2.71
Mn: 0.7500 0.7500 0.7500  6 As 2.42-2.46

Calculated values
- energy (eV per cell) = -29.98
- energy relative to the elements (eV/atom) = 0.084
- calculated volume (Å³ per cell) = 62.4
- E above lowest polymorph (eV per formula unit) = 1.32

Entry 11:
Below is a relaxed structure of Ta2MnAs, with properties calculated at the PBE level.

Cell lengths 3.9450, 3.2716, 5.1072 Å; angles 71.32, 90.00, 90.00 degrees
Last column: nearest neighbours and their distance in Å.
Atoms (fractional coordinates):
As: 0.0000 0.6998 0.4753  2 Mn 2.51, 7 Ta 2.68-2.71
Ta: 0.5000 0.2840 0.3073  1 Mn 2.48, 4 As 2.69
Mn: 0.5000 0.5399 0.7953  5 Ta 2.48-2.64, 2 As 2.51
Ta: 0.0000 0.9763 0.9221  4 Mn 2.63-2.64, 3 As 2.68-2.71

Calculated values
- energy (eV per cell) = -38.20
- energy relative to the elements (eV/atom) = -0.169
- calculated volume (Å³ per cell) = 62.4

Entry 12:
Below is a relaxed structure of Ta2MnAs, with properties calculated at the PBE level.

Cell lengths 4.4796, 4.4796, 4.4796 Å; angles 60.00, 60.00, 60.00 degrees
Last column: nearest neighbours and their distance in Å.
Atoms (fractional coordinates):
As: 0.5000 0.5000 0.5000  4 Ta 2.74, 4 Mn 2.74
Mn: 0.7500 0.7500 0.7500  4 Ta 2.74, 4 As 2.74
Ta: 0.0000 0.0000 0.0000  4 Mn 2.74, 4 Ta 2.74
Ta: 0.2500 0.2500 0.2500  4 As 2.74, 4 Ta 2.74

Calculated values
- energy (eV per cell) = -36.50
- energy relative to the elements (eV/atom) = 0.256
- calculated volume (Å³ per cell) = 63.6

Entry 13:
Below is a relaxed structure of TaMn2As2, with properties calculated at the PBE level.

Cell lengths 3.9462, 3.9462, 5.4667 Å; angles 68.84, 68.84, 90.00 degrees
Last column: nearest neighbours and their distance in Å.
Atoms (fractional coordinates):
Mn: 0.7500 0.2500 0.5000  4 As 2.28
As: 0.6279 0.6279 0.7442  4 Mn 2.28, 1 As 2.40
Ta: 0.0000 0.0000 0.0000  8 As 3.04, 8 Mn 3.07
Mn: 0.2500 0.7500 0.5000  4 As 2.28
As: 0.3721 0.3721 0.2558  4 Mn 2.28, 1 As 2.40

Calculated values
- energy (eV per cell) = -38.79
- energy relative to the elements (eV/atom) = 0.140
- calculated volume (Å³ per cell) = 73.2
- E above lowest polymorph (eV per formula unit) = 0.63

Entry 14:
Below is a relaxed structure of TaMnAs2, with properties calculated at the PBE level.

Cell lengths 2.8364, 2.8364, 9.7445 Å; angles 90.00, 90.00, 103.45 degrees
Last column: nearest neighbours and their distance in Å.
Atoms (fractional coordinates):
Ta: 0.5000 0.5000 0.7209  2 Mn 2.68, 2 As 2.70, 4 Ta 2.84
Mn: 0.0000 0.0000 0.5127  2 As 2.46, 2 Ta 2.68
As: 0.0000 0.0000 0.9308  2 Ta 2.70, 4 As 2.84
As: 0.5000 0.5000 0.3355  2 Mn 2.46

Calculated values
- energy (eV per cell) = -30.60
- energy relative to the elements (eV/atom) = -0.069
- calculated volume (Å³ per cell) = 76.2
- E above lowest polymorph (eV per formula unit) = 0.71

Entry 15:
Below is a relaxed structure of TaMnAs2, with properties calculated at the PBE level.

Cell lengths 2.9629, 2.9629, 7.9454 Å; angles 90.00, 90.00, 90.00 degrees
Last column: nearest neighbours and their distance in Å.
Atoms (fractional coordinates):
As: 0.0000 0.0000 0.9541  4 Ta 2.87, 4 As 2.96
Ta: 0.5000 0.5000 0.7073  4 Mn 2.66, 5 As 2.87-2.94, 4 Ta 2.96
As: 0.5000 0.5000 0.3376  4 Mn 2.46
Mn: 0.0000 0.0000 0.5010  4 As 2.46, 4 Ta 2.66

Calculated values
- energy (eV per cell) = -30.67
- energy relative to the elements (eV/atom) = -0.088
- calculated volume (Å³ per cell) = 69.8
- E above lowest polymorph (eV per formula unit) = 0.63

Entry 16:
Below is a relaxed structure of Ta2MnAs, with properties calculated at the PBE level.

Cell lengths 5.3939, 5.3939, 4.1133 Å; angles 67.59, 67.59, 34.80 degrees
Last column: nearest neighbours and their distance in Å.
Atoms (fractional coordinates):
Mn: 0.2429 0.2429 0.2567  2 As 2.54, 6 Ta 2.61-2.74
Ta: 0.9777 0.9777 0.0227  4 As 2.67, 2 Mn 2.74
Ta: 0.7446 0.7446 0.7552  4 Mn 2.61, 2 As 2.85-2.86
As: 0.5348 0.5348 0.4654  2 Mn 2.54, 4 Ta 2.67

Calculated values
- energy (eV per cell) = -37.85
- energy relative to the elements (eV/atom) = -0.081
- calculated volume (Å³ per cell) = 62.6

Entry 17:
Below is a relaxed structure of TaMnTlAs2, with properties calculated at the PBE level.

Cell lengths 5.1087, 5.1087, 4.7556 Å; angles 90.00, 90.00, 90.00 degrees
Last column: nearest neighbours and their distance in Å.
Atoms (fractional coordinates):
Tl: 0.0000 0.0000 0.0000  2 Mn 2.38, 4 As 2.55
Ta: 0.5000 0.5000 0.5000  8 As 3.49, 4 Mn 3.61
Mn: 0.0000 0.0000 0.5000  2 Tl 2.38
As: 0.0000 0.5000 0.0000  2 Tl 2.55
As: 0.5000 0.0000 0.0000  2 Tl 2.55

Calculated values
- energy (eV per cell) = -22.09
- energy relative to the elements (eV/atom) = 2.120
- calculated volume (Å³ per cell) = 124.1

Entry 18:
Below is a relaxed structure of TbMnAs2, with properties calculated at the PBE level.

Cell lengths 3.8644, 3.8644, 10.4258 Å; angles 100.68, 100.68, 90.00 degrees
Last column: nearest neighbours and their distance in Å.
Atoms (fractional coordinates):
Mn: 0.7501 0.2501 0.5000  4 As 2.46, 4 Mn 2.73
Tb: 0.8845 0.8845 0.7691  8 As 2.98-3.02, 4 Mn 3.33
As: 0.3254 0.3254 0.6506  4 Mn 2.46
As: 0.4998 0.9996 0.0000  4 As 2.73, 4 Tb 3.02
Tb: 0.1154 0.1154 0.2309  8 As 2.98-3.02, 4 Mn 3.33
As: 0.9996 0.4998 0.0000  4 As 2.73, 4 Tb 3.02
As: 0.6748 0.6748 0.3494  4 Mn 2.46
Mn: 0.2501 0.7501 0.5000  4 As 2.46, 4 Mn 2.73

Calculated values
- energy (eV per cell) = -52.53
- energy relative to the elements (eV/atom) = -0.791
- calculated volume (Å³ per cell) = 150.2
- E above lowest polymorph (eV per formula unit) = 0.00

Entry 19:
Below is a relaxed structure of TbMnAs3, with properties calculated at the PBE level.

Cell lengths 5.5464, 5.6724, 12.1017 Å; angles 90.00, 90.00, 90.00 degrees
Last column: nearest neighbours and their distance in Å.
Atoms (fractional coordinates):
As: 0.2500 0.5028 0.7806  2 Mn 2.54
As: 0.7500 0.4972 0.2194  2 Mn 2.54
Mn: 0.0000 0.2500 0.0875  6 As 2.47-2.54
As: 0.7500 0.3906 0.9317  4 Mn 2.47-2.48
Mn: 0.5000 0.2500 0.0875  6 As 2.47-2.54
As: 0.5000 0.7500 0.5015  4 As 2.77-2.84, 4 Tb 3.02
As: 0.0000 0.7500 0.5015  4 As 2.77-2.84, 4 Tb 3.02
As: 0.7500 0.9972 0.7806  2 Mn 2.54
Tb: 0.2500 0.5043 0.3118  9 As 2.99-3.06
As: 0.2500 0.0028 0.2194  2 Mn 2.54
Mn: 0.0000 0.7500 0.9125  6 As 2.47-2.54
As: 0.7500 0.8906 0.0683  4 Mn 2.47-2.48
As: 0.2500 0.6094 0.0683  4 Mn 2.47-2.48
As: 0.0000 0.2500 0.4985  4 As 2.77-2.84, 4 Tb 3.02
Tb: 0.7500 0.9957 0.3118  9 As 2.99-3.06
Tb: 0.7500 0.4957 0.6882  9 As 2.99-3.06
As: 0.5000 0.2500 0.4985  4 As 2.77-2.84, 4 Tb 3.02
As: 0.2500 0.1094 0.9317  4 Mn 2.47-2.48
Mn: 0.5000 0.7500 0.9125  6 As 2.47-2.54
Tb: 0.2500 0.0043 0.6882  9 As 2.99-3.06

Calculated values
- energy (eV per cell) = -124.82
- energy relative to the elements (eV/atom) = -0.691
- calculated volume (Å³ per cell) = 380.7

Entry 20:
Below is a relaxed structure of TbMnAs, with properties calculated at the PBE level.

Cell lengths 7.0324, 7.0324, 6.7153 Å; angles 107.15, 107.15, 115.89 degrees
Last column: nearest neighbours and their distance in Å.
Atoms (fractional coordinates):
As: 0.0767 0.9233 0.5000  4 Mn 2.49-2.50
As: 0.8267 0.1733 0.0000  4 Mn 2.49-2.50
As: 0.1733 0.8267 0.0000  4 Mn 2.49-2.50
Tb: 0.6250 0.3750 0.2500  4 As 2.93-3.18, 2 Mn 3.17
Mn: 0.1252 0.6252 0.2504  4 As 2.49-2.50, 1 Mn 2.79
As: 0.4233 0.5767 0.5000  4 Mn 2.49-2.50
Mn: 0.8752 0.8752 0.7504  4 As 2.49-2.50, 1 Mn 2.79
Tb: 0.1250 0.3750 0.7500  4 As 2.93-3.18, 2 Mn 3.17
Tb: 0.6250 0.3750 0.7500  4 As 2.93-3.18, 2 Mn 3.17
Mn: 0.1248 0.1248 0.2496  4 As 2.49-2.50, 1 Mn 2.79
Tb: 0.6250 0.8750 0.2500  4 As 2.93-3.18, 2 Mn 3.17
Mn: 0.3748 0.8748 0.7496  4 As 2.49-2.50, 1 Mn 2.79

Calculated values
- energy (eV per cell) = -79.22
- energy relative to the elements (eV/atom) = -0.452
- calculated volume (Å³ per cell) = 248.4